[1]
! NdVH2 | Alexandria via LeMat-Bulk | PBE | relaxed; values from VASP
&SYSTEM
  ibrav = 0, nat = 4, ntyp = 3
/
ATOMIC_SPECIES
Nd 144.24 Nd.upf
V 50.94 V.upf
H 1.01 H.upf
ATOMIC_POSITIONS crystal
Nd 0.0000 0.0000 0.0000
V 0.5000 0.5000 0.5000
H 0.2137 0.2137 0.2137
H 0.7863 0.7863 0.7863
CELL_PARAMETERS angstrom
1.5287 0.8826 5.7761
-1.5287 0.8826 5.7761
0.0000 -1.7651 5.7761
! Symmetry: R-3m (166)
! Calculated total energy, eV for the cell shown: -20.5
! Magnetic moment, μB per formula unit: 0.00

***

[2]
! Nd12V3H5 | Alexandria via LeMat-Bulk | PBE | relaxed; values from VASP
&SYSTEM
  ibrav = 0, nat = 80, ntyp = 3
/
ATOMIC_SPECIES
Nd 144.24 Nd.upf
V 50.94 V.upf
H 1.01 H.upf
ATOMIC_POSITIONS crystal
Nd 0.0207 0.2101 0.1153
Nd 0.0207 0.3106 0.9053
Nd 0.0947 0.6153 0.4053
Nd 0.0947 0.7101 0.6894
Nd 0.0947 0.8847 0.4053
Nd 0.0947 0.9793 0.6894
Nd 0.1153 0.0207 0.2101
Nd 0.1153 0.5947 0.9053
Nd 0.1894 0.2101 0.5947
Nd 0.1894 0.4793 0.5947
Nd 0.2101 0.1153 0.0207
Nd 0.2101 0.5947 0.1894
Nd 0.2899 0.3106 0.9053
Nd 0.2899 0.4793 0.3847
Nd 0.3106 0.9053 0.0207
Nd 0.3106 0.9053 0.2899
Nd 0.3847 0.2899 0.4793
Nd 0.3847 0.5947 0.9053
Nd 0.4053 0.0947 0.6153
Nd 0.4053 0.0947 0.8847
Nd 0.4053 0.8106 0.5207
Nd 0.4053 0.8106 0.7899
Nd 0.4793 0.3847 0.2899
Nd 0.4793 0.5947 0.1894
Nd 0.5207 0.4053 0.8106
Nd 0.5207 0.6153 0.7101
Nd 0.5947 0.1894 0.2101
Nd 0.5947 0.1894 0.4793
Nd 0.5947 0.9053 0.1153
Nd 0.5947 0.9053 0.3847
Nd 0.6153 0.4053 0.0947
Nd 0.6153 0.7101 0.5207
Nd 0.6894 0.0947 0.7101
Nd 0.6894 0.0947 0.9793
Nd 0.7101 0.5207 0.6153
Nd 0.7101 0.6894 0.0947
Nd 0.7899 0.4053 0.8106
Nd 0.7899 0.8847 0.9793
Nd 0.8106 0.5207 0.4053
Nd 0.8106 0.7899 0.4053
Nd 0.8847 0.4053 0.0947
Nd 0.8847 0.9793 0.7899
Nd 0.9053 0.0207 0.3106
Nd 0.9053 0.1153 0.5947
Nd 0.9053 0.2899 0.3106
Nd 0.9053 0.3847 0.5947
Nd 0.9793 0.6894 0.0947
Nd 0.9793 0.7899 0.8847
V 0.1250 0.2500 0.3750
V 0.1250 0.3750 0.7500
V 0.2500 0.3750 0.1250
V 0.2500 0.8750 0.6250
V 0.3750 0.1250 0.2500
V 0.3750 0.7500 0.1250
V 0.6250 0.2500 0.8750
V 0.6250 0.8750 0.7500
V 0.7500 0.1250 0.3750
V 0.7500 0.6250 0.8750
V 0.8750 0.6250 0.2500
V 0.8750 0.7500 0.6250
H 0.0000 0.0000 0.0000
H 0.0000 0.0000 0.5000
H 0.0000 0.5000 0.0000
H 0.0000 0.5000 0.5000
H 0.1250 0.7500 0.8750
H 0.1250 0.8750 0.2500
H 0.2500 0.1250 0.8750
H 0.2500 0.6250 0.3750
H 0.3750 0.2500 0.6250
H 0.3750 0.6250 0.7500
H 0.5000 0.0000 0.0000
H 0.5000 0.0000 0.5000
H 0.5000 0.5000 0.0000
H 0.5000 0.5000 0.5000
H 0.6250 0.3750 0.2500
H 0.6250 0.7500 0.3750
H 0.7500 0.3750 0.6250
H 0.7500 0.8750 0.1250
H 0.8750 0.1250 0.7500
H 0.8750 0.2500 0.1250
CELL_PARAMETERS angstrom
-7.9549 7.9549 7.9549
7.9549 -7.9549 7.9549
7.9549 7.9549 -7.9549
! Symmetry: Ia-3d (230)
! Calculated total energy, eV for the cell shown: -400.5
! Magnetic moment, μB per formula unit: 8.59

***

> Which value of calculated total energy does entry 2 give?

-400.5 eV for the cell shown

***

> Number 1 is which compound?

NdVH2

***

> Which of these has the lowest calculated total energy?

Nd12V3H5